# ScNbW

A geometry-optimized ScNbW structure (PBE, OQMD).

Cell lengths 4.476, 4.476, 4.476 Å; angles 60.00, 60.00, 60.00 degrees
Element x y z (fractional)
Sc 0.000 0.000 0.000
Nb 0.500 0.500 0.500
W 0.750 0.750 0.750

Summary:
spin magnetization	0.01	μB/f.u.
polymorph energy (0 for the lowest one)	0.0	meV per atom
density	8.423	Mg/m³
space-group type	F-43m
DFT formation energy	0.701	eV per atom

# YScNb

A geometry-optimized YScNb structure (PBE, OQMD).

Cell lengths 4.908, 4.908, 4.908 Å; angles 60.00, 60.00, 60.00 degrees
Element x y z (fractional)
Y 0.000 0.000 0.000
Sc 0.500 0.500 0.500
Nb 0.750 0.750 0.750

Summary:
spin magnetization	1.95	μB/f.u.
polymorph energy (0 for the lowest one)	0.0	meV per atom
density	4.504	Mg/m³
space-group type	F-43m
DFT formation energy	0.849	eV per atom

# ScNbZn

A geometry-optimized ScNbZn structure (PBE, OQMD).

Cell lengths 4.543, 4.543, 4.543 Å; angles 60.00, 60.00, 60.00 degrees
Element x y z (fractional)
Sc 0.000 0.000 0.000
Nb 0.250 0.250 0.250
Zn 0.500 0.500 0.500

Summary:
spin magnetization	2.22	μB/f.u.
polymorph energy (0 for the lowest one)	0.0	meV per atom
density	5.092	Mg/m³
space-group type	F-43m
DFT formation energy	0.847	eV per atom

# Zr2ScNb2

A geometry-optimized Zr2ScNb2 structure (PBE, OQMD).

Cell lengths 7.456, 7.456, 7.456 Å; angles 148.66, 148.66, 44.91 degrees
Element x y z (fractional)
Zr 0.100 0.100 0.000
Zr 0.900 0.900 0.000
Sc 0.500 0.500 0.000
Nb 0.250 0.750 0.500
Nb 0.750 0.250 0.500

Summary:
spin magnetization	0.01	μB/f.u.
density	6.139	Mg/m³
space-group type	I4/mmm
DFT formation energy	0.412	eV per atom

# Zr2ScNb

A geometry-optimized Zr2ScNb structure (PBE, OQMD).

Cell lengths 4.951, 4.951, 4.951 Å; angles 60.00, 60.00, 60.00 degrees
Element x y z (fractional)
Zr 0.000 0.000 0.000
Zr 0.250 0.250 0.250
Sc 0.500 0.500 0.500
Nb 0.750 0.750 0.750

Summary:
spin magnetization	0.00	μB/f.u.
density	6.199	Mg/m³
space-group type	F-43m
DFT formation energy	0.164	eV per atom

# Zr2Sc2Nb

A geometry-optimized Zr2Sc2Nb structure (PBE, OQMD).

Cell lengths 7.697, 7.697, 7.697 Å; angles 150.16, 150.16, 42.71 degrees
Element x y z (fractional)
Zr 0.090 0.090 0.000
Zr 0.910 0.910 0.000
Sc 0.250 0.750 0.500
Sc 0.750 0.250 0.500
Nb 0.500 0.500 0.000

Summary:
spin magnetization	0.01	μB/f.u.
density	5.386	Mg/m³
space-group type	I4/mmm
DFT formation energy	0.516	eV per atom

# ZrSc2Nb

A geometry-optimized ZrSc2Nb structure (PBE, OQMD).

Cell lengths 4.946, 4.946, 4.946 Å; angles 60.00, 60.00, 60.00 degrees
Element x y z (fractional)
Zr 0.000 0.000 0.000
Sc 0.250 0.250 0.250
Sc 0.500 0.500 0.500
Nb 0.750 0.750 0.750

Summary:
spin magnetization	0.02	μB/f.u.
density	5.318	Mg/m³
space-group type	F-43m
DFT formation energy	0.133	eV per atom

# NbSe2

A geometry-optimized NbSe2 structure (PBE, OQMD).

Cell lengths 4.524, 4.524, 4.524 Å; angles 60.00, 60.00, 60.00 degrees
Element x y z (fractional)
Nb 0.000 0.000 0.000
Se 0.250 0.250 0.250
Se 0.750 0.750 0.750

Summary:
spin magnetization	1.31	μB/f.u.
density	6.360	Mg/m³
space-group type	Fm-3m
electronic total energy	-6.073	eV per atom